Record 1
# GGA-PBE K3AsPt, relaxed
# Polymorph energy (0 for the lowest one)   0 meV/atom
# Energy of formation   -144 kJ/mol of formula units
# Symmetry   P2_1/c
# Fermi-level density of states   3.02 states/eV per cell
data_K3AsPt
_chemical_formula_sum 'K12 As4 Pt4'
_cell_length_a 8.150
_cell_length_b 7.477
_cell_length_c 11.382
_cell_angle_alpha 100.05
_cell_angle_beta 90.00
_cell_angle_gamma 90.00
_symmetry_space_group_name_H-M 'P 1'
_symmetry_Int_Tables_number 1
loop_
_symmetry_equiv_pos_as_xyz
'x,y,z'
loop_
_atom_site_label
_atom_site_type_symbol
_atom_site_fract_x
_atom_site_fract_y
_atom_site_fract_z
_atom_site_occupancy
K1 K 0.011 0.227 0.308 1
K2 K 0.989 0.773 0.692 1
K3 K 0.511 0.773 0.192 1
K4 K 0.489 0.227 0.808 1
K5 K 0.463 0.230 0.375 1
K6 K 0.537 0.770 0.625 1
K7 K 0.963 0.770 0.125 1
K8 K 0.037 0.230 0.875 1
K9 K 0.806 0.345 0.599 1
K10 K 0.194 0.655 0.401 1
K11 K 0.306 0.655 0.901 1
K12 K 0.694 0.345 0.099 1
As1 As 0.265 0.379 0.121 1
As2 As 0.735 0.621 0.879 1
As3 As 0.765 0.621 0.379 1
As4 As 0.235 0.379 0.621 1
Pt1 Pt 0.872 0.915 0.451 1
Pt2 Pt 0.128 0.085 0.549 1
Pt3 Pt 0.372 0.085 0.049 1
Pt4 Pt 0.628 0.915 0.951 1

Record 2
# GGA-PBE Be3CoAg, relaxed
# Polymorph energy (0 for the lowest one)   710 meV/atom
# Energy of formation   579 kJ/mol of formula units
# Symmetry   Pm-3m
# Fermi-level density of states   3.87 states/eV per cell
data_Be3CoAg
_chemical_formula_sum 'Be3 Co1 Ag1'
_cell_length_a 4.195
_cell_length_b 4.195
_cell_length_c 4.195
_cell_angle_alpha 90.00
_cell_angle_beta 90.00
_cell_angle_gamma 90.00
_symmetry_space_group_name_H-M 'P 1'
_symmetry_Int_Tables_number 1
loop_
_symmetry_equiv_pos_as_xyz
'x,y,z'
loop_
_atom_site_label
_atom_site_type_symbol
_atom_site_fract_x
_atom_site_fract_y
_atom_site_fract_z
_atom_site_occupancy
Be1 Be 0.000 0.500 0.000 1
Be2 Be 0.000 0.000 0.500 1
Be3 Be 0.500 0.000 0.000 1
Co1 Co 0.500 0.500 0.500 1
Ag1 Ag 0.000 0.000 0.000 1

Record 3
# GGA-PBE InPSe2, relaxed
# Polymorph energy (0 for the lowest one)   163 meV/atom
# Symmetry   P4mm
# Fermi-level density of states   2.20 states/eV per cell
data_InPSe2
_chemical_formula_sum 'In1 P1 Se2'
_cell_length_a 3.652
_cell_length_b 3.652
_cell_length_c 8.271
_cell_angle_alpha 90.00
_cell_angle_beta 90.00
_cell_angle_gamma 90.00
_symmetry_space_group_name_H-M 'P 1'
_symmetry_Int_Tables_number 1
loop_
_symmetry_equiv_pos_as_xyz
'x,y,z'
loop_
_atom_site_label
_atom_site_type_symbol
_atom_site_fract_x
_atom_site_fract_y
_atom_site_fract_z
_atom_site_occupancy
In1 In 0.000 0.000 0.472 1
P1 P 0.500 0.500 0.867 1
Se1 Se 0.000 0.000 0.803 1
Se2 Se 0.500 0.500 0.358 1

Record 4
# GGA-PBE SrCe2Sn9, relaxed
# Energy of formation   -561 kJ/mol of formula units
# Symmetry   P4/mmm
# Fermi-level density of states   11.15 states/eV per cell
data_SrCe2Sn9
_chemical_formula_sum 'Sr1 Ce2 Sn9'
_cell_length_a 4.758
_cell_length_b 4.758
_cell_length_c 14.338
_cell_angle_alpha 90.00
_cell_angle_beta 90.00
_cell_angle_gamma 90.00
_symmetry_space_group_name_H-M 'P 1'
_symmetry_Int_Tables_number 1
loop_
_symmetry_equiv_pos_as_xyz
'x,y,z'
loop_
_atom_site_label
_atom_site_type_symbol
_atom_site_fract_x
_atom_site_fract_y
_atom_site_fract_z
_atom_site_occupancy
Sr1 Sr 0.000 0.000 0.000 1
Ce1 Ce 0.000 0.000 0.340 1
Ce2 Ce 0.000 0.000 0.660 1
Sn1 Sn 0.500 0.500 0.000 1
Sn2 Sn 0.500 0.500 0.336 1
Sn3 Sn 0.500 0.500 0.664 1
Sn4 Sn 0.500 0.000 0.173 1
Sn5 Sn 0.500 0.000 0.500 1
Sn6 Sn 0.500 0.000 0.827 1
Sn7 Sn 0.000 0.500 0.173 1
Sn8 Sn 0.000 0.500 0.500 1
Sn9 Sn 0.000 0.500 0.827 1

Record 5
# GGA-PBE KLaCu2H, relaxed
# Uncorrected energy   -3.241 eV/atom
# Symmetry   P4/mmm
# Fermi-level density of states   2.53 states/eV per cell
data_KLaCu2H
_chemical_formula_sum 'K1 La1 Cu2 H1'
_cell_length_a 5.142
_cell_length_b 4.221
_cell_length_c 5.142
_cell_angle_alpha 90.00
_cell_angle_beta 90.00
_cell_angle_gamma 90.00
_symmetry_space_group_name_H-M 'P 1'
_symmetry_Int_Tables_number 1
loop_
_symmetry_equiv_pos_as_xyz
'x,y,z'
loop_
_atom_site_label
_atom_site_type_symbol
_atom_site_fract_x
_atom_site_fract_y
_atom_site_fract_z
_atom_site_occupancy
H1 H 0.000 0.000 0.000 1
K1 K 0.500 0.500 0.500 1
Cu1 Cu 0.000 0.000 0.500 1
Cu2 Cu 0.500 0.000 0.000 1
La1 La 0.000 0.500 0.000 1

Record 6
# GGA-PBE Sc2MnAs, relaxed
# Energy of formation   -64 kJ/mol of formula units
# Symmetry   F-43m
# Fermi-level density of states   1.74 states/eV per cell
data_Sc2MnAs
_chemical_formula_sum 'Sc2 Mn1 As1'
_cell_length_a 4.466
_cell_length_b 4.466
_cell_length_c 4.466
_cell_angle_alpha 60.00
_cell_angle_beta 60.00
_cell_angle_gamma 60.00
_symmetry_space_group_name_H-M 'P 1'
_symmetry_Int_Tables_number 1
loop_
_symmetry_equiv_pos_as_xyz
'x,y,z'
loop_
_atom_site_label
_atom_site_type_symbol
_atom_site_fract_x
_atom_site_fract_y
_atom_site_fract_z
_atom_site_occupancy
As1 As 0.500 0.500 0.500 1
Mn1 Mn 0.750 0.750 0.750 1
Sc1 Sc 0.000 0.000 0.000 1
Sc2 Sc 0.250 0.250 0.250 1

Record 7
# GGA-PBE FeP2Pb, relaxed
# Energy of formation   -9 kJ/mol of formula units
# Symmetry   R3m
# Fermi-level density of states   2.39 states/eV per cell
data_FeP2Pb
_chemical_formula_sum 'Fe1 P2 Pb1'
_cell_length_a 6.792
_cell_length_b 6.792
_cell_length_c 6.792
_cell_angle_alpha 31.35
_cell_angle_beta 31.35
_cell_angle_gamma 31.35
_symmetry_space_group_name_H-M 'P 1'
_symmetry_Int_Tables_number 1
loop_
_symmetry_equiv_pos_as_xyz
'x,y,z'
loop_
_atom_site_label
_atom_site_type_symbol
_atom_site_fract_x
_atom_site_fract_y
_atom_site_fract_z
_atom_site_occupancy
Fe1 Fe 0.664 0.664 0.664 1
P1 P 0.038 0.038 0.038 1
P2 P 0.288 0.288 0.288 1
Pb1 Pb 0.510 0.510 0.510 1

Record 8
# GGA-PBE Mg3GeH2, relaxed
# Uncorrected energy   -2.619 eV/atom
# Symmetry   P2_1/m
# Fermi-level density of states   3.27 states/eV per cell
data_Mg3GeH2
_chemical_formula_sum 'Mg6 Ge2 H4'
_cell_length_a 3.235
_cell_length_b 5.915
_cell_length_c 9.823
_cell_angle_alpha 94.46
_cell_angle_beta 90.00
_cell_angle_gamma 90.00
_symmetry_space_group_name_H-M 'P 1'
_symmetry_Int_Tables_number 1
loop_
_symmetry_equiv_pos_as_xyz
'x,y,z'
loop_
_atom_site_label
_atom_site_type_symbol
_atom_site_fract_x
_atom_site_fract_y
_atom_site_fract_z
_atom_site_occupancy
Mg1 Mg 0.750 0.951 0.154 1
Mg2 Mg 0.250 0.049 0.846 1
Mg3 Mg 0.750 0.611 0.885 1
Mg4 Mg 0.250 0.389 0.115 1
Mg5 Mg 0.250 0.262 0.400 1
Mg6 Mg 0.750 0.738 0.600 1
Ge1 Ge 0.250 0.723 0.340 1
Ge2 Ge 0.750 0.277 0.660 1
H1 H 0.250 0.410 0.914 1
H2 H 0.750 0.590 0.086 1
H3 H 0.750 0.143 0.502 1
H4 H 0.250 0.857 0.498 1

Record 9
# GGA-PBE Ba6Mg23, relaxed
# Energy of formation   -219 kJ/mol of formula units
# Symmetry   Fm-3m
# Fermi-level density of states   21.59 states/eV per cell
data_Ba6Mg23
_chemical_formula_sum 'Ba6 Mg23'
_cell_length_a 10.764
_cell_length_b 10.764
_cell_length_c 10.764
_cell_angle_alpha 60.00
_cell_angle_beta 60.00
_cell_angle_gamma 60.00
_symmetry_space_group_name_H-M 'P 1'
_symmetry_Int_Tables_number 1
loop_
_symmetry_equiv_pos_as_xyz
'x,y,z'
loop_
_atom_site_label
_atom_site_type_symbol
_atom_site_fract_x
_atom_site_fract_y
_atom_site_fract_z
_atom_site_occupancy
Ba1 Ba 0.788 0.212 0.212 1
Ba2 Ba 0.212 0.788 0.788 1
Ba3 Ba 0.788 0.212 0.788 1
Ba4 Ba 0.212 0.788 0.212 1
Ba5 Ba 0.788 0.788 0.212 1
Ba6 Ba 0.212 0.212 0.788 1
Mg1 Mg 0.500 0.500 0.500 1
Mg2 Mg 0.500 0.000 0.000 1
Mg3 Mg 0.000 0.500 0.500 1
Mg4 Mg 0.500 0.000 0.500 1
Mg5 Mg 0.000 0.500 0.000 1
Mg6 Mg 0.500 0.500 0.000 1
Mg7 Mg 0.000 0.000 0.500 1
Mg8 Mg 0.868 0.377 0.377 1
Mg9 Mg 0.377 0.868 0.377 1
Mg10 Mg 0.377 0.377 0.868 1
Mg11 Mg 0.377 0.377 0.377 1
Mg12 Mg 0.623 0.132 0.623 1
Mg13 Mg 0.132 0.623 0.623 1
Mg14 Mg 0.623 0.623 0.132 1
Mg15 Mg 0.623 0.623 0.623 1
Mg16 Mg 0.470 0.177 0.177 1
Mg17 Mg 0.177 0.470 0.177 1
Mg18 Mg 0.177 0.177 0.470 1
Mg19 Mg 0.177 0.177 0.177 1
Mg20 Mg 0.823 0.530 0.823 1
Mg21 Mg 0.530 0.823 0.823 1
Mg22 Mg 0.823 0.823 0.530 1
Mg23 Mg 0.823 0.823 0.823 1

Record 10
# GGA-PBE BaIr4Ru, relaxed
# Energy of formation   345 kJ/mol of formula units
# Symmetry   F-43m
# Fermi-level density of states   9.86 states/eV per cell
data_BaIr4Ru
_chemical_formula_sum 'Ba1 Ir4 Ru1'
_cell_length_a 5.406
_cell_length_b 5.406
_cell_length_c 5.406
_cell_angle_alpha 60.00
_cell_angle_beta 60.00
_cell_angle_gamma 60.00
_symmetry_space_group_name_H-M 'P 1'
_symmetry_Int_Tables_number 1
loop_
_symmetry_equiv_pos_as_xyz
'x,y,z'
loop_
_atom_site_label
_atom_site_type_symbol
_atom_site_fract_x
_atom_site_fract_y
_atom_site_fract_z
_atom_site_occupancy
Ba1 Ba 0.000 0.000 0.000 1
Ir1 Ir 0.873 0.376 0.376 1
Ir2 Ir 0.376 0.376 0.873 1
Ir3 Ir 0.376 0.873 0.376 1
Ir4 Ir 0.376 0.376 0.376 1
Ru1 Ru 0.750 0.750 0.750 1